! PBE KMn2Si, optimized geometry; values from VASP
&SYSTEM
  ibrav = 0, nat = 4, ntyp = 3
/
ATOMIC_SPECIES
K 39.10 K.upf
Mn 54.94 Mn.upf
Si 28.09 Si.upf
ATOMIC_POSITIONS crystal
K 0.0000 0.0000 0.0000
Mn 0.5000 0.5000 0.3493
Mn 0.5000 0.5000 0.6507
Si 0.0000 0.0000 0.5000
CELL_PARAMETERS angstrom
3.0763 0.0000 0.0000
0.0000 3.0763 0.0000
0.0000 0.0000 8.3411
! Calculated volume   78.94 Å³/cell
! Raw formation energy   0.48 eV per atom
! Energy relative to the lowest polymorph listed for this composition   187.2 meV/atom